No. 1
An optimized crystal structure of CaPt3Au. Source: the Alexandria database, functional PBE-GGA.

Unit cell a=4.999 b=4.999 c=4.999 alpha=90.00 beta=90.00 gamma=90.00
Fractional positions:
Ca 0.500 0.500 0.500
Au 0.000 0.000 0.000
Pt 0.000 0.500 0.000
Pt 0.000 0.000 0.500
Pt 0.500 0.000 0.000

**SG**: No. 221
**ρ**: 10.93 g/cm³
**DOS(E_F)**: 5.14 states/eV/f.u.
**Polymorph energy (0 for the lowest one)**: 0.00 eV/f.u.
**Formation energy from the elements**: 2.425 eV/f.u.
**Total moment**: 0.00 μB/f.u.

No. 2
An optimized crystal structure of Ca6Pt5Au. Source: the Alexandria database, functional PBE-GGA.

Unit cell a=4.965 b=8.612 c=8.612 alpha=119.94 beta=106.76 gamma=106.76
Fractional positions:
Ca 0.254 0.084 0.424
Ca 0.746 0.576 0.916
Ca 0.757 0.257 0.257
Ca 0.243 0.743 0.743
Ca 0.254 0.424 0.084
Ca 0.746 0.916 0.576
Au 0.000 0.000 0.000
Pt 0.500 0.163 0.837
Pt 0.000 0.334 0.666
Pt 0.500 0.500 0.500
Pt 0.000 0.666 0.334
Pt 0.500 0.837 0.163

**SG**: No. 71
**ρ**: 9.00 g/cm³
**DOS(E_F)**: 1.35 states/eV/f.u.
**Formation energy from the elements**: -10.548 eV/f.u.
**Total moment**: 0.00 μB/f.u.